Density functional theory data (PBE) for an optimized crystal structure of TmPuSe2.

Summary:
total DFT energy (no corrections): -0.2967 hartree per atom
formation energy (no corrections): -1.6318 eV/atom
total magnetic moment: 5.97 μB per formula unit

Cell lengths 4.0439, 4.0439, 7.1768 Å; angles 73.64, 73.64, 60.00 degrees
With the nearest neighbours (Å) after each atom.
Atoms (fractional coordinates):
Tm  0.0000  0.0000  0.0000  6 Se 2.84
Se  0.7463  0.7463  0.7612  3 Tm 2.84, 3 Pu 2.93
Se  0.2537  0.2537  0.2388  3 Tm 2.84, 3 Pu 2.93
Pu  0.5000  0.5000  0.5000  6 Se 2.93

=====

Density functional theory data (PBE) for an optimized crystal structure of TmPuSe3.

Summary:
total DFT energy (no corrections): -0.2755 hartree per atom
formation energy (no corrections): -1.6453 eV/atom
total magnetic moment: 5.00 μB per formula unit

Cell lengths 4.0872, 7.6317, 15.7369 Å; angles 90.00, 90.00, 90.00 degrees
With the nearest neighbours (Å) after each atom.
Atoms (fractional coordinates):
Se  0.7500  0.9909  0.6053  3 Tm 2.84-2.96, 1 Pu 3.13
Se  0.2500  0.6492  0.7186  4 Pu 2.87-3.00, 1 Tm 2.92, 1 Se 3.19
Se  0.7500  0.3508  0.2814  4 Pu 2.87-3.00, 1 Tm 2.92, 1 Se 3.19
Se  0.7500  0.4909  0.8947  3 Tm 2.84-2.96, 1 Pu 3.13
Se  0.2500  0.3777  0.5648  3 Tm 2.87-2.99, 2 Pu 3.02, 1 Se 3.19
Se  0.2500  0.0091  0.3947  3 Tm 2.84-2.96, 1 Pu 3.13
Se  0.2500  0.5091  0.1053  3 Tm 2.84-2.96, 1 Pu 3.13
Se  0.7500  0.6223  0.4352  3 Tm 2.87-2.99, 2 Pu 3.02, 1 Se 3.19
Se  0.7500  0.1223  0.0648  3 Tm 2.87-2.99, 2 Pu 3.02, 1 Se 3.19
Se  0.7500  0.8508  0.2186  4 Pu 2.87-3.00, 1 Tm 2.92, 1 Se 3.19
Se  0.2500  0.1492  0.7814  4 Pu 2.87-3.00, 1 Tm 2.92, 1 Se 3.19
Se  0.2500  0.8777  0.9352  3 Tm 2.87-2.99, 2 Pu 3.02, 1 Se 3.19
Pu  0.7500  0.3621  0.7056  7 Se 2.87-3.13
Pu  0.7500  0.8621  0.7944  7 Se 2.87-3.13
Pu  0.2500  0.6379  0.2944  7 Se 2.87-3.13
Pu  0.2500  0.1379  0.2056  7 Se 2.87-3.13
Tm  0.7500  0.7328  0.0418  7 Se 2.84-2.99
Tm  0.2500  0.7672  0.5418  7 Se 2.84-2.99
Tm  0.2500  0.2672  0.9582  7 Se 2.84-2.99
Tm  0.7500  0.2328  0.4582  7 Se 2.84-2.99

=====

Density functional theory data (PBE) for an optimized crystal structure of TmPuSe2.

Summary:
total DFT energy (no corrections): -0.2963 hartree per atom
formation energy (no corrections): -1.6188 eV/atom
total magnetic moment: 5.82 μB per formula unit

Cell lengths 4.0725, 4.0822, 11.5451 Å; angles 89.96, 90.00, 90.00 degrees
With the nearest neighbours (Å) after each atom.
Atoms (fractional coordinates):
Se  0.2010  0.9840  0.4827  1 Tm 2.82, 5 Pu 2.88-2.93
Se  0.7010  0.4827  0.2249  5 Tm 2.85-2.89, 1 Pu 2.94
Se  0.7010  0.4835  0.7333  1 Tm 2.82, 5 Pu 2.88-2.93
Se  0.2010  0.9831  0.9911  5 Tm 2.85-2.89, 1 Pu 2.94
Pu  0.7010  0.4840  0.4794  6 Se 2.88-2.94
Pu  0.2010  0.9836  0.7364  6 Se 2.88-2.94
Tm  0.7010  0.4831  0.9779  6 Se 2.82-2.89
Tm  0.2010  0.9828  0.2382  6 Se 2.82-2.89

=====

Density functional theory data (PBE) for an optimized crystal structure of Tm2PuSe3.

Summary:
total DFT energy (no corrections): -0.2671 hartree per atom
formation energy (no corrections): -1.6462 eV/atom
total magnetic moment: 6.00 μB per formula unit

Cell lengths 4.0380, 5.7355, 7.0479 Å; angles 114.01, 106.65, 90.00 degrees
With the nearest neighbours (Å) after each atom.
Atoms (fractional coordinates):
Pu  0.5000  0.5000  0.5000  6 Se 2.87-2.92
Se  0.8277  0.3277  0.1554  4 Tm 2.83-2.87, 2 Pu 2.92
Se  0.1723  0.6723  0.8446  4 Tm 2.83-2.87, 2 Pu 2.92
Se  0.5000  0.0000  0.5000  4 Tm 2.86, 2 Pu 2.87
Tm  0.1653  0.1653  0.8306  6 Se 2.83-2.87
Tm  0.8347  0.8347  0.1694  6 Se 2.83-2.87

=====

Density functional theory data (PBE) for an optimized crystal structure of TmPuSe3.

Summary:
total DFT energy (no corrections): -0.2745 hartree per atom
formation energy (no corrections): -1.6181 eV/atom
total magnetic moment: 5.00 μB per formula unit

Cell lengths 4.0362, 8.0094, 8.2075 Å; angles 94.41, 90.00, 90.00 degrees
With the nearest neighbours (Å) after each atom.
Atoms (fractional coordinates):
Se  0.2500  0.8962  0.6800  3 Tm 2.83-2.87, 2 Pu 3.17
Se  0.7500  0.1038  0.3200  3 Tm 2.83-2.87, 2 Pu 3.17
Se  0.7500  0.3109  0.9756  1 Tm 2.75, 3 Pu 2.90-3.04
Se  0.2500  0.3784  0.6122  2 Tm 2.83, 2 Pu 3.01
Se  0.7500  0.6216  0.3878  2 Tm 2.83, 2 Pu 3.01
Se  0.2500  0.6891  0.0244  1 Tm 2.75, 3 Pu 2.90-3.04
Tm  0.2500  0.8567  0.3293  6 Se 2.75-2.87
Tm  0.7500  0.1433  0.6707  6 Se 2.75-2.87
Pu  0.7500  0.6145  0.7749  8 Se 2.90-3.18
Pu  0.2500  0.3855  0.2251  8 Se 2.90-3.18

=====

Density functional theory data (PBE) for an optimized crystal structure of Tm3PuSe4.

Summary:
total DFT energy (no corrections): -0.2522 hartree per atom
formation energy (no corrections): -1.6519 eV/atom
total magnetic moment: 5.96 μB per formula unit

Cell lengths 4.0257, 7.0176, 7.0176 Å; angles 109.10, 90.00, 90.00 degrees
With the nearest neighbours (Å) after each atom.
Atoms (fractional coordinates):
Se  0.0000  0.2569  0.2569  4 Tm 2.82-2.86, 2 Pu 2.90
Se  0.5000  0.7464  0.2536  5 Tm 2.82-2.86, 1 Pu 2.90
Se  0.5000  0.2536  0.7464  5 Tm 2.82-2.86, 1 Pu 2.90
Se  0.0000  0.7431  0.7431  4 Tm 2.82-2.86, 2 Pu 2.90
Tm  0.0000  0.0000  0.5000  6 Se 2.86
Tm  0.0000  0.5000  0.0000  6 Se 2.86
Tm  0.5000  0.5000  0.5000  6 Se 2.82
Pu  0.5000  0.0000  0.0000  6 Se 2.90

=====

Density functional theory data (PBE) for an optimized crystal structure of TmPuSe2.

Summary:
total DFT energy (no corrections): -0.2954 hartree per atom
formation energy (no corrections): -1.5948 eV/atom
total magnetic moment: 6.08 μB per formula unit

Cell lengths 3.9975, 3.9975, 14.0151 Å; angles 90.00, 90.00, 120.00 degrees
With the nearest neighbours (Å) after each atom.
Atoms (fractional coordinates):
Tm  0.0000  0.0000  0.5000  6 Se 2.83
Tm  0.0000  0.0000  0.0000  6 Se 2.83
Se  0.6667  0.3333  0.6170  3 Tm 2.83, 3 Pu 2.97
Se  0.3333  0.6667  0.1170  3 Tm 2.83, 3 Pu 2.97
Se  0.3333  0.6667  0.3830  3 Tm 2.83, 3 Pu 2.97
Se  0.6667  0.3333  0.8830  3 Tm 2.83, 3 Pu 2.97
Pu  0.6667  0.3333  0.2500  6 Se 2.97
Pu  0.3333  0.6667  0.7500  6 Se 2.97

=====

Density functional theory data (PBE) for an optimized crystal structure of Tm2Pu3USe6.

Summary:
total DFT energy (no corrections): -0.3126 hartree per atom
formation energy (no corrections): -1.4940 eV/atom
total magnetic moment: 14.59 μB per formula unit

Cell lengths 4.0352, 8.2673, 9.1892 Å; angles 104.17, 102.68, 90.00 degrees
With the nearest neighbours (Å) after each atom.
Atoms (fractional coordinates):
Se  0.0018  0.2510  0.0036  1 Tm 2.81, 3 Pu 2.89-2.91, 2 U 2.89
Se  0.9982  0.7490  0.9964  1 Tm 2.81, 3 Pu 2.89-2.91, 2 U 2.89
Se  0.6704  0.5750  0.3408  3 Tm 2.86-2.89, 3 Pu 2.94-2.96
Se  0.3296  0.4250  0.6592  3 Tm 2.86-2.89, 3 Pu 2.94-2.96
Se  0.3325  0.9119  0.6650  2 Tm 2.83, 3 Pu 2.90-2.92, 1 U 2.91
Se  0.6675  0.0881  0.3350  2 Tm 2.83, 3 Pu 2.90-2.92, 1 U 2.91
Pu  0.1655  0.8311  0.3311  6 Se 2.90-2.94
Pu  0.8345  0.1689  0.6689  6 Se 2.90-2.94
Pu  0.5000  0.5000  0.0000  6 Se 2.89-2.96
Tm  0.1633  0.3259  0.3266  6 Se 2.81-2.89
Tm  0.8367  0.6741  0.6734  6 Se 2.81-2.89
U  0.5000  0.0000  0.0000  6 Se 2.89-2.91

=====

Density functional theory data (PBE) for an optimized crystal structure of TmPu2USe4.

Summary:
total DFT energy (no corrections): -0.3207 hartree per atom
formation energy (no corrections): -1.4306 eV/atom
total magnetic moment: 14.50 μB per formula unit

Cell lengths 4.0498, 7.0961, 7.1301 Å; angles 108.85, 90.00, 90.00 degrees
With the nearest neighbours (Å) after each atom.
Atoms (fractional coordinates):
Pu  0.0000  0.5000  0.5000  6 Se 2.90
Pu  0.5000  0.0000  0.5000  6 Se 2.92-2.93
Se  0.0000  0.2554  0.7572  2 Tm 2.86, 1 U 2.88, 3 Pu 2.90-2.93
Se  0.5000  0.7477  0.7531  1 Tm 2.86, 2 U 2.89, 3 Pu 2.90-2.92
Se  0.0000  0.7446  0.2428  2 Tm 2.86, 1 U 2.88, 3 Pu 2.90-2.93
Se  0.5000  0.2523  0.2469  1 Tm 2.86, 2 U 2.89, 3 Pu 2.90-2.92
Tm  0.5000  0.5000  0.0000  6 Se 2.86
U  0.0000  0.0000  0.0000  6 Se 2.88-2.89

=====

Density functional theory data (PBE) for an optimized crystal structure of Y3TmPu2Se6.

Summary:
total DFT energy (no corrections): -0.2872 hartree per atom
formation energy (no corrections): -1.6964 eV/atom
total magnetic moment: 11.76 μB per formula unit

Cell lengths 4.0768, 8.2165, 9.1554 Å; angles 103.12, 102.86, 90.00 degrees
With the nearest neighbours (Å) after each atom.
Atoms (fractional coordinates):
Y  0.1686  0.8336  0.3373  6 Se 2.88-2.90
Y  0.8314  0.1664  0.6627  6 Se 2.88-2.90
Y  0.5000  0.5000  0.0000  6 Se 2.88-2.92
Se  0.6661  0.5853  0.3321  3 Y 2.88, 3 Pu 2.91-2.92
Se  0.3358  0.9213  0.6716  1 Tm 2.85, 3 Y 2.88-2.90, 2 Pu 2.92
Se  0.0024  0.7558  0.0047  2 Tm 2.87, 3 Y 2.89-2.92, 1 Pu 2.92
Se  0.9976  0.2442  0.9953  2 Tm 2.87, 3 Y 2.89-2.92, 1 Pu 2.92
Se  0.6642  0.0787  0.3284  1 Tm 2.85, 3 Y 2.88-2.90, 2 Pu 2.92
Se  0.3339  0.4147  0.6679  3 Y 2.88, 3 Pu 2.91-2.92
Pu  0.8342  0.6668  0.6683  6 Se 2.91-2.92
Pu  0.1658  0.3332  0.3317  6 Se 2.91-2.92
Tm  0.5000  0.0000  0.0000  6 Se 2.85-2.87